A geometry-optimized CePr3Sn12 structure. Source: Alexandria via LeMat-Bulk, functional GGA-PBE.

The space group is P4/mmm (No. 123) and the conventional cell measures 4.789, 4.789 and 18.991 Å, with angles of 90.00, 90.00 and 90.00 degrees. The inequivalent atoms are Ce at (0.000, 0.000, 0.000), Pr at (0.000, 0.000, 0.246), Pr at (0.000, 0.000, 0.500), Sn at (0.000, 0.500, 0.122), Sn at (0.000, 0.500, 0.374), Sn at (0.500, 0.500, 0.000), Sn at (0.500, 0.500, 0.248) and Sn at (0.500, 0.500, 0.500).

The energy relative to the elements comes out at -516 meV/atom. The total energy is -4.7856 eV/atom.